Computed, not measured: an optimized crystal structure of LiAsS2 at the PBE level of DFT.

Computed properties:
For the formation energy (no corrections), the calculation gives -2.192 eV per formula unit. As for the energy: -68.0 eV for the cell shown. The crystal system is orthorhombic. As for the total magnetization: 0.0 μB/cell. The calculation puts the density at 2.86 g/cm³.

a b c (Å): 6.722 7.831 6.447
angles (deg): 90.00 90.00 90.00
Atoms (fractional coordinates):
Li1 0.173 0.105 0.000
Li2 0.327 0.605 0.500
Li3 0.673 0.395 0.000
Li4 0.827 0.895 0.500
As1 0.174 0.584 0.018
As2 0.326 0.084 0.518
As3 0.674 0.916 0.018
As4 0.826 0.416 0.518
S1 0.109 0.394 0.733
S2 0.151 0.890 0.686
S3 0.349 0.390 0.186
S4 0.391 0.894 0.233
S5 0.609 0.106 0.733
S6 0.651 0.610 0.686
S7 0.849 0.110 0.186
S8 0.891 0.606 0.233



Computed, not measured: an optimized crystal structure of Li3As5S12 at the PBE level of DFT.

Computed properties:
For the formation energy (no corrections), the calculation gives -3.940 eV per formula unit. As for the energy: -329.8 eV for the cell shown. The crystal system is cubic. As for the total magnetization: 0.0 μB/cell. The calculation puts the density at 2.98 g/cm³.

a b c (Å): 13.121 13.121 13.121
angles (deg): 109.47 109.47 109.47
Atoms (fractional coordinates):
Li1 0.125 0.250 0.375
Li2 0.125 0.375 0.750
Li3 0.250 0.375 0.125
Li4 0.250 0.875 0.625
Li5 0.375 0.125 0.250
Li6 0.375 0.750 0.125
Li7 0.625 0.250 0.875
Li8 0.625 0.875 0.750
Li9 0.750 0.125 0.375
Li10 0.750 0.625 0.875
Li11 0.875 0.625 0.250
Li12 0.875 0.750 0.625
As1 0.000 0.000 0.000
As2 0.000 0.000 0.500
As3 0.000 0.500 0.000
As4 0.000 0.500 0.500
As5 0.125 0.750 0.875
As6 0.125 0.875 0.250
As7 0.250 0.125 0.875
As8 0.250 0.625 0.375
As9 0.375 0.250 0.625
As10 0.375 0.625 0.750
As11 0.500 0.000 0.000
As12 0.500 0.000 0.500
As13 0.500 0.500 0.000
As14 0.500 0.500 0.500
As15 0.625 0.375 0.250
As16 0.625 0.750 0.375
As17 0.750 0.375 0.625
As18 0.750 0.875 0.125
As19 0.875 0.125 0.750
As20 0.875 0.250 0.125
S1 0.029 0.213 0.125
S2 0.029 0.316 0.905
S3 0.089 0.713 0.684
S4 0.089 0.875 0.405
S5 0.095 0.625 0.411
S6 0.095 0.971 0.684
S7 0.125 0.029 0.213
S8 0.125 0.595 0.911
S9 0.184 0.213 0.589
S10 0.184 0.471 0.595
S11 0.213 0.125 0.029
S12 0.213 0.589 0.184
S13 0.287 0.316 0.911
S14 0.287 0.471 0.375
S15 0.316 0.905 0.029
S16 0.316 0.911 0.287
S17 0.375 0.287 0.471
S18 0.375 0.589 0.905
S19 0.405 0.089 0.875
S20 0.405 0.816 0.529
S21 0.411 0.095 0.625
S22 0.411 0.816 0.787
S23 0.471 0.375 0.287
S24 0.471 0.595 0.184
S25 0.529 0.405 0.816
S26 0.529 0.625 0.713
S27 0.589 0.184 0.213
S28 0.589 0.905 0.375
S29 0.595 0.184 0.471
S30 0.595 0.911 0.125
S31 0.625 0.411 0.095
S32 0.625 0.713 0.529
S33 0.684 0.089 0.713
S34 0.684 0.095 0.971
S35 0.713 0.529 0.625
S36 0.713 0.684 0.089
S37 0.787 0.411 0.816
S38 0.787 0.875 0.971
S39 0.816 0.529 0.405
S40 0.816 0.787 0.411
S41 0.875 0.405 0.089
S42 0.875 0.971 0.787
S43 0.905 0.029 0.316
S44 0.905 0.375 0.589
S45 0.911 0.125 0.595
S46 0.911 0.287 0.316
S47 0.971 0.684 0.095
S48 0.971 0.787 0.875



Computed, not measured: an optimized crystal structure of LiAsS2 at the PBE level of DFT.

Computed properties:
For the formation energy (no corrections), the calculation gives -0.133 eV per formula unit. As for the energy: -15.0 eV for the cell shown. The crystal system is trigonal. As for the total magnetization: 0.0 μB/cell. The calculation puts the density at 3.51 g/cm³.

a b c (Å): 8.710 8.710 8.710
angles (deg): 20.21 20.21 20.21
Atoms (fractional coordinates):
Li1 0.000 0.000 0.000
As1 0.500 0.500 0.500
S1 0.402 0.402 0.402
S2 0.598 0.598 0.598



Computed, not measured: an optimized crystal structure of Li2As2S5 at the PBE level of DFT.

Computed properties:
For the formation energy (no corrections), the calculation gives -3.120 eV per formula unit. As for the energy: -36.9 eV for the cell shown. The crystal system is monoclinic. As for the total magnetization: 0.0 μB/cell. The calculation puts the density at 2.68 g/cm³.

a b c (Å): 7.344 7.344 6.106
angles (deg): 97.10 97.10 37.98
Atoms (fractional coordinates):
Li1 0.170 0.170 0.436
Li2 0.830 0.830 0.564
As1 0.339 0.339 0.104
As2 0.661 0.661 0.896
S1 0.157 0.157 0.009
S2 0.357 0.357 0.466
S3 0.500 0.500 0.000
S4 0.643 0.643 0.534
S5 0.843 0.843 0.991



Computed, not measured: an optimized crystal structure of Li3AsS3 at the PBE level of DFT.

Computed properties:
For the formation energy (no corrections), the calculation gives -4.541 eV per formula unit. As for the energy: -54.6 eV for the cell shown. The crystal system is orthorhombic. As for the total magnetization: 0.0 μB/cell. The calculation puts the density at 1.98 g/cm³.

a b c (Å): 8.641 8.641 4.970
angles (deg): 90.00 90.00 119.89
Atoms (fractional coordinates):
Li1 0.156 0.844 0.750
Li2 0.157 0.313 0.750
Li3 0.313 0.157 0.250
Li4 0.687 0.843 0.750
Li5 0.843 0.687 0.250
Li6 0.844 0.156 0.250
As1 0.333 0.667 0.250
As2 0.667 0.333 0.750
S1 0.177 0.354 0.250
S2 0.177 0.823 0.250
S3 0.354 0.177 0.750
S4 0.646 0.823 0.250
S5 0.823 0.177 0.750
S6 0.823 0.646 0.750



Computed, not measured: an optimized crystal structure of Li3AsS at the PBE level of DFT.

Computed properties:
For the formation energy (no corrections), the calculation gives -0.914 eV per formula unit. As for the energy: -15.4 eV for the cell shown. The crystal system is cubic. As for the total magnetization: 0.0 μB/cell. The calculation puts the density at 2.01 g/cm³.

a b c (Å): 4.726 4.726 4.726
angles (deg): 90.00 90.00 90.00
Atoms (fractional coordinates):
Li1 0.000 0.000 0.500
Li2 0.000 0.500 0.000
Li3 0.500 0.000 0.000
As1 0.000 0.000 0.000
S1 0.500 0.500 0.500



Computed, not measured: an optimized crystal structure of Li8AsS6 at the PBE level of DFT.

Computed properties:
For the formation energy (no corrections), the calculation gives -15.112 eV per formula unit. As for the energy: -119.7 eV for the cell shown. The crystal system is orthorhombic. As for the total magnetization: 0.0 μB/cell. The calculation puts the density at 1.97 g/cm³.

a b c (Å): 6.998 7.489 10.366
angles (deg): 90.00 90.00 90.00
Atoms (fractional coordinates):
Li1 0.000 0.135 0.000
Li2 0.000 0.245 0.438
Li3 0.211 0.572 0.788
Li4 0.216 0.739 0.110
Li5 0.220 0.943 0.780
Li6 0.280 0.057 0.280
Li7 0.284 0.261 0.610
Li8 0.289 0.428 0.288
Li9 0.500 0.755 0.938
Li10 0.500 0.865 0.500
Li11 0.711 0.428 0.288
Li12 0.716 0.261 0.610
Li13 0.720 0.057 0.280
Li14 0.780 0.943 0.780
Li15 0.784 0.739 0.110
Li16 0.789 0.572 0.788
As1 0.000 0.748 0.482
As2 0.500 0.252 0.982
S1 0.000 0.029 0.599
S2 0.000 0.245 0.221
S3 0.000 0.470 0.600
S4 0.000 0.779 0.929
S5 0.247 0.255 0.849
S6 0.253 0.745 0.349
S7 0.500 0.221 0.429
S8 0.500 0.530 0.100
S9 0.500 0.755 0.721
S10 0.500 0.971 0.099
S11 0.747 0.745 0.349
S12 0.753 0.255 0.849



Computed, not measured: an optimized crystal structure of LiAsS2 at the PBE level of DFT.

Computed properties:
For the formation energy (no corrections), the calculation gives -2.052 eV per formula unit. As for the energy: -16.9 eV for the cell shown. The crystal system is trigonal. As for the total magnetization: 0.0 μB/cell. The calculation puts the density at 3.25 g/cm³.

a b c (Å): 6.768 6.768 6.768
angles (deg): 31.38 31.38 31.38
Atoms (fractional coordinates):
Li1 0.000 0.000 0.000
As1 0.828 0.828 0.828
S1 0.238 0.238 0.238
S2 0.416 0.416 0.416



Computed, not measured: an optimized crystal structure of Li2AsS3 at the PBE level of DFT.

Computed properties:
For the formation energy (no corrections), the calculation gives -4.334 eV per formula unit. As for the energy: -25.2 eV for the cell shown. The crystal system is orthorhombic. As for the total magnetization: 0.0 μB/cell. The calculation puts the density at 2.40 g/cm³.

a b c (Å): 6.618 6.618 6.618
angles (deg): 142.06 61.46 133.56
Atoms (fractional coordinates):
Li1 0.165 0.000 0.165
Li2 0.835 0.000 0.835
As1 0.477 0.977 0.500
S1 0.071 0.728 0.343
S2 0.385 0.728 0.657
S3 0.679 0.679 0.000



Computed, not measured: an optimized crystal structure of LiAs2S at the PBE level of DFT.

Computed properties:
For the formation energy (no corrections), the calculation gives 0.931 eV per formula unit. As for the energy: -28.8 eV for the cell shown. The crystal system is tetragonal. As for the total magnetization: 0.0 μB/cell. The calculation puts the density at 3.34 g/cm³.

a b c (Å): 6.941 6.941 6.941
angles (deg): 130.70 130.70 72.30
Atoms (fractional coordinates):
Li1 0.000 0.000 0.000
Li2 0.750 0.250 0.500
As1 0.133 0.625 0.008
As2 0.375 0.383 0.508
As3 0.617 0.125 0.992
As4 0.875 0.867 0.492
S1 0.250 0.750 0.500
S2 0.500 0.500 0.000



Computed, not measured: an optimized crystal structure of LiAsS4 at the PBE level of DFT.

Computed properties:
For the formation energy (no corrections), the calculation gives -0.670 eV per formula unit. As for the energy: -47.5 eV for the cell shown. The crystal system is monoclinic. As for the total magnetization: 0.0 μB/cell. The calculation puts the density at 2.71 g/cm³.

a b c (Å): 8.598 8.598 4.190
angles (deg): 97.76 97.76 120.22
Atoms (fractional coordinates):
Li1 0.152 0.848 0.750
Li2 0.848 0.152 0.250
As1 0.379 0.621 0.250
As2 0.621 0.379 0.750
S1 0.120 0.557 0.885
S2 0.179 0.231 0.307
S3 0.231 0.179 0.807
S4 0.443 0.880 0.615
S5 0.557 0.120 0.385
S6 0.769 0.821 0.193
S7 0.821 0.769 0.693
S8 0.880 0.443 0.115



Computed, not measured: an optimized crystal structure of LiAsS2 at the PBE level of DFT.

Computed properties:
For the formation energy (no corrections), the calculation gives -1.511 eV per formula unit. As for the energy: -16.3 eV for the cell shown. The crystal system is trigonal. As for the total magnetization: 0.0 μB/cell. The calculation puts the density at 2.67 g/cm³.

a b c (Å): 7.639 7.639 7.639
angles (deg): 28.71 28.71 28.71
Atoms (fractional coordinates):
Li1 0.000 0.000 0.000
As1 0.500 0.500 0.500
S1 0.103 0.103 0.103
S2 0.897 0.897 0.897



Computed, not measured: an optimized crystal structure of LiAsS2 at the PBE level of DFT.

Computed properties:
For the formation energy (no corrections), the calculation gives -1.741 eV per formula unit. As for the energy: -33.1 eV for the cell shown. The crystal system is tetragonal. As for the total magnetization: 0.0 μB/cell. The calculation puts the density at 2.59 g/cm³.

a b c (Å): 7.148 7.148 7.148
angles (deg): 133.83 133.83 67.36
Atoms (fractional coordinates):
Li1 0.000 0.000 0.000
Li2 0.750 0.250 0.500
As1 0.250 0.750 0.500
As2 0.500 0.500 0.000
S1 0.126 0.625 0.001
S2 0.375 0.376 0.501
S3 0.624 0.125 0.999
S4 0.875 0.874 0.499



Computed, not measured: an optimized crystal structure of Li3AsS at the PBE level of DFT.

Computed properties:
For the formation energy (no corrections), the calculation gives -2.792 eV per formula unit. As for the energy: -17.3 eV for the cell shown. The crystal system is cubic. As for the total magnetization: 2.0 μB/cell. The calculation puts the density at 2.18 g/cm³.

a b c (Å): 4.602 4.602 4.602
angles (deg): 90.00 90.00 90.00
Atoms (fractional coordinates):
Li1 0.000 0.000 0.500
Li2 0.000 0.500 0.000
Li3 0.500 0.000 0.000
As1 0.500 0.500 0.500
S1 0.000 0.000 0.000



Computed, not measured: an optimized crystal structure of Li2SbAsS4 at the PBE level of DFT.

Computed properties:
For the formation energy (no corrections), the calculation gives -4.716 eV per formula unit. As for the energy: -67.7 eV for the cell shown. The crystal system is orthorhombic. As for the total magnetization: 0.0 μB/cell. The calculation puts the density at 3.63 g/cm³.

a b c (Å): 7.598 7.598 7.598
angles (deg): 120.63 119.37 90.00
Atoms (fractional coordinates):
Li1 0.000 0.000 0.000
Li2 0.500 0.000 0.000
Li3 0.500 0.000 0.500
Li4 0.500 0.500 0.500
Sb1 0.000 0.500 0.500
Sb2 0.500 0.500 0.000
As1 0.000 0.000 0.500
As2 0.000 0.500 0.000
S1 0.234 0.245 0.989
S2 0.243 0.755 0.489
S3 0.244 0.235 0.490
S4 0.244 0.754 0.010
S5 0.756 0.246 0.990
S6 0.756 0.765 0.510
S7 0.757 0.245 0.511
S8 0.766 0.755 0.011



Computed, not measured: an optimized crystal structure of LiAs2SeS at the PBE level of DFT.

Computed properties:
For the formation energy (no corrections), the calculation gives 2.034 eV per formula unit. As for the energy: -16.8 eV for the cell shown. The crystal system is tetragonal. As for the total magnetization: 0.8 μB/cell. The calculation puts the density at 3.78 g/cm³.

a b c (Å): 4.866 4.866 4.966
angles (deg): 90.00 90.00 90.00
Atoms (fractional coordinates):
Li1 0.000 0.000 0.000
As1 0.000 0.500 0.500
As2 0.500 0.000 0.500
Se1 0.500 0.500 0.000
S1 0.500 0.500 0.500



Computed, not measured: an optimized crystal structure of LiAsSeS at the PBE level of DFT.

Computed properties:
For the formation energy (no corrections), the calculation gives -2.085 eV per formula unit. As for the energy: -16.3 eV for the cell shown. The crystal system is monoclinic. As for the total magnetization: 0.0 μB/cell. The calculation puts the density at 3.16 g/cm³.

a b c (Å): 4.562 4.562 6.498
angles (deg): 112.50 112.50 56.24
Atoms (fractional coordinates):
Li1 0.000 0.000 0.000
As1 0.520 0.520 0.551
Se1 0.160 0.160 0.459
S1 0.650 0.650 0.928



Computed, not measured: an optimized crystal structure of LiAs2SeS at the PBE level of DFT.

Computed properties:
For the formation energy (no corrections), the calculation gives 3.356 eV per formula unit. As for the energy: -15.5 eV for the cell shown. The crystal system is tetragonal. As for the total magnetization: 0.0 μB/cell. The calculation puts the density at 4.56 g/cm³.

a b c (Å): 4.813 4.813 4.206
angles (deg): 90.00 90.00 90.00
Atoms (fractional coordinates):
Li1 0.000 0.000 0.000
As1 0.000 0.500 0.000
As2 0.500 0.000 0.000
Se1 0.000 0.000 0.500
S1 0.500 0.500 0.500



Computed, not measured: an optimized crystal structure of LiSiAs2S at the PBE level of DFT.

Computed properties:
For the formation energy (no corrections), the calculation gives 1.724 eV per formula unit. As for the energy: -19.0 eV for the cell shown. The crystal system is tetragonal. As for the total magnetization: 0.0 μB/cell. The calculation puts the density at 3.52 g/cm³.

a b c (Å): 4.917 4.917 4.229
angles (deg): 90.00 90.00 90.00
Atoms (fractional coordinates):
Li1 0.000 0.000 0.000
Si1 0.500 0.500 0.000
As1 0.000 0.500 0.500
As2 0.500 0.000 0.500
S1 0.000 0.000 0.500



Computed, not measured: an optimized crystal structure of Li2SiAsS4 at the PBE level of DFT.

Computed properties:
For the formation energy (no corrections), the calculation gives -5.347 eV per formula unit. As for the energy: -35.8 eV for the cell shown. The crystal system is triclinic. As for the total magnetization: 0.0 μB/cell. The calculation puts the density at 2.46 g/cm³.

a b c (Å): 5.194 5.790 6.191
angles (deg): 107.40 108.83 93.44
Atoms (fractional coordinates):
Li1 0.000 0.000 0.000
Li2 0.197 0.713 0.505
Si1 0.737 0.252 0.534
As1 0.640 0.475 0.057
S1 0.037 0.563 0.780
S2 0.397 0.359 0.277
S3 0.573 0.089 0.746
S4 0.871 0.960 0.328